This record from the Alexandria database describes a PBEsol-optimized structure of Rb2Ga2Pd. The functional is SCAN.

* space-group type: I4/mmm, No. 139
* crystal system: tetragonal
* formation enthalpy at 0 K: 0.62 eV/atom

a = 4.2884 Å, b = 4.2884 Å, c = 14.9453 Å
α = 90.00°, β = 90.00°, γ = 90.00°
Closest atoms and distances in Å follow each position.
Positions (direct):
1 Rb 0.0000 0.5000 0.2500  4 Rb 3.03, 4 Ga 3.34
2 Rb 0.0000 0.5000 0.7500  4 Rb 3.03, 4 Ga 3.34
3 Rb 0.5000 0.0000 0.2500  4 Rb 3.03, 4 Ga 3.34
4 Rb 0.5000 0.0000 0.7500  4 Rb 3.03, 4 Ga 3.34
5 Ga 0.0000 0.0000 0.0791  1 Ga 2.36
6 Ga 0.0000 0.0000 0.9209  1 Ga 2.36
7 Ga 0.5000 0.5000 0.4209  1 Ga 2.36
8 Ga 0.5000 0.5000 0.5791  1 Ga 2.36
9 Pd 0.0000 0.0000 0.5000  8 Ga 3.25
10 Pd 0.5000 0.5000 0.0000  8 Ga 3.25